A plane-wave DFT calculation with GGA-PBE was carried out for a relaxed K5Rb4Li crystal.

The structure belongs to space group I4mm (No. 107); the cell edges are 14.0386, 14.0386 and 7.6970 Å and the angles 90.00°, 90.00° and 90.00°. The inequivalent atoms are K at (0.0000, 0.0000, 0.0000), K at (0.1742, 0.1742, 0.6478), Rb at (0.0000, 0.3149, 0.1793) and Li at (0.0000, 0.0000, 0.4644).

The value obtained for the density is 1.192 g/cm3. The calculation puts the final energy at -10.70 eV per formula unit. The value obtained for the energy of formation is 0.057 eV per atom.

A plane-wave DFT calculation with GGA-PBE was carried out for a relaxed Ce5Rh4Au crystal.

The structure belongs to space group I4 (No. 79); the cell edges are 9.0684, 9.0684 and 5.7727 Å and the angles 90.00°, 90.00° and 90.00°. The inequivalent atoms are Ce at (0.0000, 0.0000, 0.0000), Ce at (0.1038, 0.6860, 0.4991), Rh at (0.1067, 0.7022, 0.9991) and Au at (0.0000, 0.0000, 0.5000).

The value obtained for the density is 9.159 g/cm3. The calculation puts the final energy at -69.03 eV per formula unit. The value obtained for the energy of formation is -0.667 eV per atom.

A plane-wave DFT calculation with GGA-PBE was carried out for a relaxed Sr2AlCd2 crystal.

The structure belongs to space group C2/m (No. 12); the cell edges are 11.9389, 4.8419 and 12.0782 Å and the angles 90.00°, 117.54° and 90.00°. The inequivalent atoms are Sr at (0.0139, 0.0000, 0.3403), Sr at (0.1971, 0.0000, 0.1136), Al at (0.2246, 0.5000, 0.3490), Cd at (0.0069, 0.5000, 0.8797) and Cd at (0.1494, 0.5000, 0.5600).

The value obtained for the density is 4.582 g/cm3. The calculation puts the final energy at -10.35 eV per formula unit. The value obtained for the energy of formation is -0.282 eV per atom.

A plane-wave DFT calculation with GGA-PBE was carried out for a relaxed ScPBr2 crystal.

The structure belongs to space group R3m (No. 160, hexagonal axes); the cell edges are 3.6344, 3.6344 and 26.6605 Å and the angles 90.00°, 90.00° and 120.00°. The inequivalent atoms are Sc at (0.0000, 0.0000, 0.0000), P at (0.0000, 0.0000, 0.7276), Br at (0.0000, 0.0000, 0.2681) and Br at (0.0000, 0.0000, 0.4730).

The value obtained for the density is 3.851 g/cm3. The calculation puts the final energy at -17.13 eV per formula unit.

A plane-wave DFT calculation with GGA-PBE was carried out for a relaxed CoWN3 crystal.

The structure belongs to space group P-1 (No. 2); the cell edges are 5.6225, 7.4581 and 7.8885 Å and the angles 64.72°, 69.63° and 79.07°. The inequivalent atoms are Co at (0.1158, 0.3307, 0.1011), Co at (0.3747, 0.6833, 0.9050), W at (0.2241, 0.9271, 0.0769), W at (0.4623, 0.5331, 0.3224), N at (0.0607, 0.8547, 0.9284), N at (0.1619, 0.7388, 0.3206), N at (0.1975, 0.5348, 0.8435), N at (0.3153, 0.4522, 0.1590), N at (0.3987, 0.3314, 0.5608) and N at (0.4260, 0.1656, 0.0327).

The value obtained for the density is 6.754 g/cm3. The calculation puts the final energy at -44.12 eV per formula unit.

A plane-wave DFT calculation with GGA-PBE was carried out for a relaxed NaTh2Tc crystal.

The structure belongs to space group P4/mmm (No. 123); the cell edges are 3.4589, 3.4589 and 9.8570 Å and the angles 90.00°, 90.00° and 90.00°. The inequivalent atoms are Na at (0.0000, 0.0000, 0.0000), Th at (0.5000, 0.5000, 0.3197) and Tc at (0.0000, 0.0000, 0.5000).

The value obtained for the density is 8.238 g/cm3. The calculation puts the final energy at -26.28 eV per formula unit. The value obtained for the energy of formation is 0.062 eV per atom.